Entry 1:
First-principles (PBE-GGA) data for a geometry-optimized LaIn3Ag structure, as listed in Alexandria.

Computed properties:
**Distance to the lowest polymorph of the same formula**: 1219 meV/atom
**Formation energy**: 0.871 eV per atom

a = 6.100 Å, b = 6.100 Å, c = 6.100 Å
α = 90.00°, β = 90.00°, γ = 90.00°
Atoms (fractional coordinates):
Ag1 0.500 0.500 0.500
La1 0.000 0.000 0.000
In1 0.000 0.500 0.000
In2 0.000 0.000 0.500
In3 0.500 0.000 0.000

Entry 2:
First-principles (PBE-GGA) data for a geometry-optimized IrW structure, as listed in Alexandria.

Computed properties:
**Distance to the lowest polymorph of the same formula**: 237 meV/atom
**Formation energy**: -0.063 eV per atom

a = 4.840 Å, b = 4.840 Å, c = 4.840 Å
α = 33.38°, β = 33.38°, γ = 33.38°
Atoms (fractional coordinates):
W1 0.500 0.500 0.500
Ir1 0.000 0.000 0.000